Here is an optimized crystal structure of Cd5HgPd4 from the Alexandria database. Energies are from PBE-GGA.

Summary:
Uncorrected energy, Ry/atom: -0.2117
Formation energy from the elements, eV/atom: -0.32

Cell lengths 3.276, 3.276, 17.326 Å; angles 90.00, 90.00, 90.00 degrees
Fractional positions:
Hg  0.000  0.000  0.000
Cd  0.500  0.500  0.123
Cd  0.500  0.500  0.877
Cd  0.500  0.500  0.312
Cd  0.500  0.500  0.500
Cd  0.500  0.500  0.688
Pd  0.000  0.000  0.594
Pd  0.000  0.000  0.406
Pd  0.000  0.000  0.217
Pd  0.000  0.000  0.783

=====

Here is an optimized crystal structure of Ca2ZrMn from the Alexandria database. Energies are from PBE-GGA.

Summary:
Uncorrected energy, Ry/atom: -0.3685
Offset from the most stable computed form, meV per atom: 217
Formation energy from the elements, eV/atom: 0.42

Cell lengths 10.259, 10.259, 10.259 Å; angles 20.13, 20.13, 20.13 degrees
Last column: magnetic moment on the atom in μB.
Fractional positions:
Zr  0.772  0.772  0.772  -0.58
Mn  0.491  0.491  0.491  2.38
Ca  0.229  0.229  0.229  -0.01
Ca  0.008  0.008  0.008  -0.02

=====

Here is an optimized crystal structure of Ac6Rh4Cl from the Alexandria database. Energies are from PBE-GGA.

Summary:
Uncorrected energy, Ry/atom: -0.4274
Raw formation energy, eV/atom: -0.732

Cell lengths 6.081, 6.081, 11.289 Å; angles 116.37, 116.53, 84.19 degrees
Fractional positions:
Rh  0.131  0.129  0.709
Rh  0.332  0.818  0.311
Rh  0.617  0.616  0.713
Rh  0.818  0.332  0.311
Ac  0.580  0.084  0.988
Ac  0.083  0.582  0.988
Ac  0.850  0.850  0.338
Ac  0.576  0.071  0.644
Ac  0.073  0.575  0.644
Ac  0.346  0.347  0.348
Cl  0.094  0.095  0.006

=====

Here is an optimized crystal structure of Y6Tl5H from the Alexandria database. Energies are from PBE-GGA.

Summary:
Uncorrected energy, Ry/atom: -0.3457

Cell lengths 9.185, 6.643, 6.529 Å; angles 59.42, 84.93, 80.00 degrees
Fractional positions:
Tl  0.000  0.713  0.573
Tl  0.500  0.500  0.000
Tl  0.500  0.862  0.276
Tl  0.000  0.287  0.427
Tl  0.500  0.138  0.724
H  0.000  0.000  0.000
Y  0.841  0.798  0.000
Y  0.738  0.110  0.345
Y  0.262  0.890  0.655
Y  0.262  0.544  0.345
Y  0.159  0.202  0.000
Y  0.738  0.456  0.655

=====

Here is an optimized crystal structure of CeMn2SiGe from the Alexandria database. Energies are from PBE-GGA.

Summary:
Uncorrected energy, Ry/atom: -0.5418
Raw formation energy, eV/atom: -0.509

Cell lengths 5.601, 5.606, 5.981 Å; angles 117.95, 90.00, 90.00 degrees
Last column: magnetic moment on the atom in μB.
Fractional positions:
Mn  0.000  0.754  0.000  1.97
Mn  0.500  0.246  0.000  1.97
Mn  0.500  0.754  0.000  1.97
Mn  0.000  0.246  0.000  1.97
Ge  0.750  0.368  0.735  -0.09
Ge  0.250  0.632  0.265  -0.09
Si  0.750  0.125  0.250  -0.08
Si  0.250  0.875  0.750  -0.08
Ce  0.250  0.250  0.499  0.16
Ce  0.750  0.750  0.501  0.16

=====

Here is an optimized crystal structure of Sr2Co from the Alexandria database. Energies are from PBE-GGA.

Summary:
Uncorrected energy, Ry/atom: -0.2213
Formation energy from the elements, eV/atom: 0.48

Cell lengths 9.764, 9.764, 5.589 Å; angles 90.00, 90.00, 157.58 degrees
Last column: magnetic moment on the atom in μB.
Fractional positions:
Co  0.938  0.062  0.750  1.29
Co  0.062  0.938  0.250  1.29
Sr  0.438  0.562  0.250  -0.08
Sr  0.313  0.687  0.750  -0.04
Sr  0.562  0.438  0.750  -0.08
Sr  0.687  0.313  0.250  -0.04

=====

Here is an optimized crystal structure of TaTe4Rh from the Alexandria database. Energies are from PBE-GGA.

Summary:
Uncorrected energy, Ry/atom: -0.2891
Offset from the most stable computed form, meV per atom: 1777
Raw formation energy, eV/atom: 1.361

Cell lengths 6.025, 6.025, 6.025 Å; angles 60.00, 60.00, 60.00 degrees
Last column: magnetic moment on the atom in μB.
Fractional positions:
Ta  0.000  0.000  0.000  1.22
Rh  0.750  0.750  0.750  -0.54
Te  0.375  0.375  0.874  -0.04
Te  0.375  0.874  0.375  -0.04
Te  0.874  0.375  0.375  -0.04
Te  0.375  0.375  0.375  -0.04

=====

Here is an optimized crystal structure of Hf3Mn5S12 from the Alexandria database. Energies are from PBE-GGA.

Summary:
Uncorrected energy, Ry/atom: -0.5215
Raw formation energy, eV/atom: -0.834

Cell lengths 12.632, 12.632, 12.632 Å; angles 109.47, 109.47, 109.47 degrees
Last column: magnetic moment on the atom in μB.
Fractional positions:
S  0.910  0.085  0.630  0.01
S  0.280  0.870  0.955  0.01
S  0.085  0.174  0.455  0.01
S  0.174  0.085  0.955  0.01
S  0.674  0.220  0.590  0.01
S  0.630  0.585  0.910  0.01
S  0.780  0.455  0.370  0.01
S  0.585  0.955  0.674  0.01
S  0.090  0.174  0.220  0.01
S  0.870  0.590  0.915  0.01
S  0.826  0.910  0.280  0.01
S  0.630  0.045  0.220  0.01
S  0.045  0.630  0.720  0.01
S  0.915  0.826  0.545  0.01
S  0.674  0.455  0.585  0.01
S  0.915  0.090  0.870  0.01
S  0.955  0.370  0.280  0.01
S  0.090  0.915  0.370  0.01
S  0.130  0.410  0.085  0.01
S  0.415  0.370  0.590  0.01
S  0.955  0.585  0.174  0.01
S  0.455  0.674  0.085  0.01
S  0.545  0.220  0.130  0.01
S  0.780  0.326  0.910  0.01
S  0.720  0.590  0.174  0.01
S  0.045  0.415  0.826  0.01
S  0.370  0.955  0.780  0.01
S  0.326  0.780  0.410  0.01
S  0.545  0.326  0.915  0.01
S  0.174  0.090  0.720  0.01
S  0.220  0.674  0.090  0.01
S  0.130  0.720  0.545  0.01
S  0.370  0.415  0.090  0.01
S  0.826  0.915  0.045  0.01
S  0.280  0.410  0.826  0.01
S  0.410  0.130  0.585  0.01
S  0.720  0.130  0.045  0.01
S  0.590  0.720  0.674  0.01
S  0.910  0.826  0.780  0.01
S  0.415  0.045  0.326  0.01
S  0.585  0.630  0.410  0.01
S  0.410  0.280  0.326  0.01
S  0.326  0.545  0.415  0.01
S  0.220  0.545  0.630  0.01
S  0.455  0.780  0.870  0.01
S  0.590  0.870  0.415  0.01
S  0.870  0.280  0.455  0.01
S  0.085  0.910  0.130  0.01
Mn  0.000  0.000  0.500  3.83
Mn  0.750  0.125  0.875  3.87
Mn  0.625  0.750  0.875  3.87
Mn  0.250  0.875  0.125  3.87
Mn  0.500  0.000  0.000  3.83
Mn  0.375  0.125  0.750  3.87
Mn  0.375  0.250  0.125  3.87
Mn  0.000  0.500  0.500  3.83
Mn  0.875  0.250  0.625  3.87
Mn  0.500  0.500  0.500  3.83
Mn  0.500  0.500  0.000  3.83
Mn  0.625  0.875  0.250  3.87
Mn  0.500  0.000  0.500  3.83
Mn  0.250  0.375  0.625  3.87
Mn  0.750  0.625  0.375  3.87
Mn  0.000  0.500  0.000  3.83
Mn  0.000  0.000  0.000  3.83
Mn  0.125  0.750  0.375  3.87
Mn  0.875  0.625  0.750  3.87
Mn  0.125  0.375  0.250  3.87
Hf  0.750  0.875  0.625  0.19
Hf  0.250  0.625  0.875  0.19
Hf  0.125  0.875  0.750  0.19
Hf  0.125  0.250  0.875  0.19
Hf  0.750  0.375  0.125  0.19
Hf  0.375  0.625  0.250  0.19
Hf  0.875  0.750  0.125  0.19
Hf  0.625  0.250  0.375  0.19
Hf  0.375  0.750  0.625  0.19
Hf  0.875  0.125  0.250  0.19
Hf  0.625  0.375  0.750  0.19
Hf  0.250  0.125  0.375  0.19

=====

Here is an optimized crystal structure of Co2AgCl from the Alexandria database. Energies are from PBE-GGA.

Summary:
Uncorrected energy, Ry/atom: -0.2880
Offset from the most stable computed form, meV per atom: 607
Raw formation energy, eV/atom: 0.809

Cell lengths 4.381, 4.381, 4.381 Å; angles 60.00, 60.00, 60.00 degrees
Last column: magnetic moment on the atom in μB.
Fractional positions:
Co  0.750  0.750  0.750  1.77
Co  0.250  0.250  0.250  1.77
Cl  0.000  0.000  0.000  0.08
Ag  0.500  0.500  0.500  0.02

=====

Here is an optimized crystal structure of Tl2RuAu from the Alexandria database. Energies are from PBE-GGA.

Summary:
Uncorrected energy, Ry/atom: -0.2770
Offset from the most stable computed form, meV per atom: 216
Formation energy from the elements, eV/atom: 0.55

Cell lengths 4.839, 4.839, 4.839 Å; angles 60.00, 60.00, 60.00 degrees
Last column: magnetic moment on the atom in μB.
Fractional positions:
Au  0.500  0.500  0.500  0.03
Tl  0.250  0.250  0.250  0.00
Tl  0.750  0.750  0.750  0.00
Ru  0.000  0.000  0.000  0.52

=====

Here is an optimized crystal structure of Ca2Dy2Rh3 from the Alexandria database. Energies are from PBE-GGA.

Summary:
Uncorrected energy, Ry/atom: -0.4154
Formation energy from the elements, eV/atom: -0.61

Cell lengths 4.793, 4.794, 8.611 Å; angles 90.01, 106.16, 119.99 degrees
Fractional positions:
Rh  0.482  0.741  0.223
Rh  0.000  0.000  0.000
Rh  0.518  0.259  0.777
Ca  0.748  0.874  0.621
Ca  0.252  0.126  0.379
Dy  0.751  0.376  0.127
Dy  0.249  0.624  0.873

=====

Here is an optimized crystal structure of NaMg3 from the Alexandria database. Energies are from PBE-GGA.

Summary:
Uncorrected energy, Ry/atom: -0.1058
Formation energy from the elements, eV/atom: 0.09

Cell lengths 6.349, 6.349, 6.349 Å; angles 150.77, 125.44, 63.09 degrees
Fractional positions:
Mg  0.572  0.242  0.331
Mg  0.089  0.758  0.331
Mg  0.506  0.500  0.006
Na  0.000  0.000  0.000